[1]
Here is Ce2AsOs after structural relaxation from Alexandria. Energies are from PBE.

Calculated values
Crystal system: trigonal
Total energy (eV/atom): -6.8916

a b c (Å): 3.9865 3.9865 26.3944
angles (deg): 90.00 90.00 120.00
Last column: nearest neighbours and their distance in Å.
Space group R-3m (No. 166, hexagonal axes)
Unique sites:
Ce1 0.0000 0.0000 0.1081 [6 per cell]  3 Os 2.77, 1 As 2.85
As1 0.0000 0.0000 0.0000 [3 per cell]  2 Ce 2.85
Os1 0.0000 0.0000 0.5000 [3 per cell]  6 Ce 2.77

***

[2]
Here is Ce4AsOs after structural relaxation from Alexandria. Energies are from PBE.

Calculated values
Crystal system: orthorhombic
Total energy (eV/atom): -7.0108

a b c (Å): 9.1251 10.4834 13.4028
angles (deg): 90.00 90.00 90.00
Last column: nearest neighbours and their distance in Å.
Space group Fddd (No. 70, origin choice 2)
Unique sites:
Ce1 0.1114 0.3739 0.2374 [32 per cell]  2 Os 2.84-3.02, 1 Ce 3.02, 2 As 3.03-3.04
As1 0.1250 0.1250 0.6250 [8 per cell]  8 Ce 3.03-3.04
Os1 0.1250 0.1250 0.1250 [8 per cell]  8 Ce 2.84-3.02

***

[3]
Here is Ce6AsOs3 after structural relaxation from Alexandria. Energies are from PBE.

Calculated values
Crystal system: monoclinic
Total energy (eV/atom): -7.7404

a b c (Å): 11.2769 4.1027 11.7295
angles (deg): 90.00 106.78 90.00
Last column: nearest neighbours and their distance in Å.
Space group P2_1/m (No. 11)
Unique sites:
Ce1 0.0309 0.2500 0.3917 [2 per cell]  3 Os 2.71-2.76
Ce2 0.1066 0.2500 0.9424 [2 per cell]  4 Os 2.76-2.88
Ce3 0.2273 0.7500 0.2648 [2 per cell]  3 Os 2.87-2.92, 2 As 3.17
Ce4 0.2894 0.7500 0.7603 [2 per cell]  3 Os 2.70-2.94
Ce5 0.3730 0.2500 0.5396 [2 per cell]  2 Os 2.87, 3 As 3.07-3.11
Ce6 0.4139 0.7500 0.0949 [2 per cell]  3 Os 2.77-2.87
As1 0.4494 0.2500 0.3053 [2 per cell]  8 Ce 3.07-3.25
Os1 0.0493 0.2500 0.1664 [2 per cell]  6 Ce 2.71-2.88
Os2 0.1873 0.7500 0.4995 [2 per cell]  7 Ce 2.76-3.08
Os3 0.3441 0.2500 0.9167 [2 per cell]  6 Ce 2.70-2.87

***

[4]
Here is Ce8As3P4 after structural relaxation from Alexandria. Energies are from PBE.

Calculated values
Crystal system: monoclinic
Total energy (eV/atom): -6.8458

a b c (Å): 11.6986 11.7034 8.2552
angles (deg): 90.00 134.84 90.00
Last column: nearest neighbours and their distance in Å.
Space group C2/m (No. 12)
Unique sites:
Ce1 0.0000 0.2445 0.0000 [4 per cell]  3 P 2.86-2.93, 2 As 2.93
Ce2 0.0000 0.2472 0.5000 [4 per cell]  3 P 2.89-2.93, 3 As 2.92-2.96
Ce3 0.2408 0.0000 0.4884 [4 per cell]  2 P 2.86-2.88, 3 As 2.93-2.97
Ce4 0.2416 0.0000 0.9933 [4 per cell]  4 P 2.87-2.93, 1 As 2.97
As1 0.0000 0.5000 0.5000 [2 per cell]  6 Ce 2.96-2.97
As2 0.2500 0.2500 0.5000 [4 per cell]  6 Ce 2.92-2.93
P1 0.0000 0.0000 0.0000 [2 per cell]  6 Ce 2.86-2.87
P2 0.0000 0.0000 0.5000 [2 per cell]  6 Ce 2.88-2.89
P3 0.2500 0.2500 0.0000 [4 per cell]  6 Ce 2.93

***

[5]
Here is Ce3As2P after structural relaxation from Alexandria. Energies are from PBE.

Calculated values
Crystal system: monoclinic
Total energy (eV/atom): -6.8612

a b c (Å): 7.2356 12.5274 7.2279
angles (deg): 90.00 109.46 90.00
Last column: nearest neighbours and their distance in Å.
Space group C2/c (No. 15)
Unique sites:
Ce1 0.2423 0.0809 0.4995 [8 per cell]  2 P 2.91-2.92, 4 As 2.95-2.99
Ce2 0.2500 0.2500 0.0000 [4 per cell]  2 P 2.94, 4 As 2.95
As1 0.0000 0.2519 0.2500 [4 per cell]  6 Ce 2.95-2.98
As2 0.0000 0.4169 0.7500 [4 per cell]  6 Ce 2.95-2.99
P1 0.0000 0.0848 0.7500 [4 per cell]  6 Ce 2.91-2.94

***

[6]
Here is Ce8As5P3 after structural relaxation from Alexandria. Energies are from PBE.

Calculated values
Crystal system: trigonal
Total energy (eV/atom): -6.8811

a b c (Å): 8.3368 8.3368 20.4428
angles (deg): 90.00 90.00 120.00
Last column: nearest neighbours and their distance in Å.
Space group R-3m (No. 166, hexagonal axes)
Unique sites:
Ce1 0.0000 0.0000 0.2472 [6 per cell]  3 P 2.92, 3 As 2.98
Ce2 0.0038 0.5019 0.7519 [18 per cell]  2 P 2.91, 4 As 2.95-2.98
As1 0.0000 0.0000 0.0000 [3 per cell]  6 Ce 2.95
As2 0.0000 0.0000 0.5000 [3 per cell]  6 Ce 2.95
As3 0.0000 0.5000 0.0000 [9 per cell]  6 Ce 2.98
P1 0.0000 0.5000 0.5000 [9 per cell]  6 Ce 2.91-2.92

***

[7]
Here is Ce5As4P after structural relaxation from Alexandria. Energies are from PBE.

Calculated values
Crystal system: tetragonal
Total energy (eV/atom): -6.8019

a b c (Å): 9.3747 9.3747 5.9315
angles (deg): 90.00 90.00 90.00
Last column: nearest neighbours and their distance in Å.
Space group I4/m (No. 87)
Unique sites:
Ce1 0.0000 0.0000 0.0000 [2 per cell]  4 As 2.97, 2 P 2.97
Ce2 0.0985 0.7049 0.5000 [8 per cell]  1 P 2.92, 5 As 2.97-3.00
As1 0.0984 0.6994 0.0000 [8 per cell]  6 Ce 2.97-3.00
P1 0.0000 0.0000 0.5000 [2 per cell]  6 Ce 2.92-2.97

***

[8]
Here is Ce8As4P3 after structural relaxation from Alexandria. Energies are from PBE.

Calculated values
Crystal system: monoclinic
Total energy (eV/atom): -6.7791

a b c (Å): 11.7249 11.7297 8.2798
angles (deg): 90.00 134.89 90.00
Last column: nearest neighbours and their distance in Å.
Space group C2/m (No. 12)
Unique sites:
Ce1 0.0000 0.2472 0.0000 [4 per cell]  3 P 2.90-2.93, 3 As 2.93-2.96
Ce2 0.0000 0.2495 0.5000 [4 per cell]  3 As 2.93, 2 P 2.93
Ce3 0.2463 0.0000 0.4933 [4 per cell]  3 P 2.89-2.93, 2 As 2.93-2.97
Ce4 0.2459 0.0000 0.9987 [4 per cell]  1 P 2.89, 4 As 2.93-2.97
As1 0.0000 0.0000 0.5000 [2 per cell]  6 Ce 2.93
As2 0.0000 0.5000 0.0000 [2 per cell]  6 Ce 2.96-2.97
As3 0.2500 0.2500 0.0000 [4 per cell]  6 Ce 2.93
P1 0.0000 0.0000 0.0000 [2 per cell]  6 Ce 2.89-2.90
P2 0.2500 0.2500 0.5000 [4 per cell]  6 Ce 2.93

***

[9]
Here is Ce2As2P after structural relaxation from Alexandria. Energies are from PBE.

Calculated values
Crystal system: orthorhombic
Total energy (eV/atom): -6.2993

a b c (Å): 7.4001 11.8354 5.7548
angles (deg): 90.00 90.00 90.00
Last column: nearest neighbours and their distance in Å.
Space group Ibam (No. 72)
Unique sites:
Ce1 0.2309 0.1196 0.0000 [8 per cell]  2 P 2.84, 5 As 2.93-3.11
As1 0.1640 0.1397 0.5000 [8 per cell]  5 Ce 2.93-3.11
P1 0.0000 0.5000 0.2500 [4 per cell]  4 Ce 2.84, 2 P 2.88

***

[10]
Here is Ce6As3P after structural relaxation from Alexandria. Energies are from PBE.

Calculated values
Crystal system: monoclinic
Total energy (eV/atom): -6.4740

a b c (Å): 6.9965 7.9914 12.1782
angles (deg): 90.00 125.02 90.00
Last column: nearest neighbours and their distance in Å.
Space group P2_1/c (No. 14)
Unique sites:
Ce1 0.0772 0.0602 0.2547 [4 per cell]  1 P 2.79, 3 As 2.87-2.99
Ce2 0.2343 0.6757 0.0712 [4 per cell]  1 P 2.83, 3 As 2.92-3.12
Ce3 0.4174 0.1843 0.0708 [4 per cell]  1 P 2.83, 3 As 2.92-3.15
As1 0.0000 0.0000 0.0000 [2 per cell]  6 Ce 2.87-2.92
As2 0.3011 0.1239 0.7514 [4 per cell]  6 Ce 2.98-3.15
P1 0.5000 0.0000 0.5000 [2 per cell]  6 Ce 2.79-2.83

***

[11]
Here is CeAsP2 after structural relaxation from Alexandria. Energies are from PBE.

Calculated values
Crystal system: tetragonal
Total energy (eV/atom): -5.9618

a b c (Å): 4.3142 4.3142 4.0017
angles (deg): 90.00 90.00 90.00
Last column: nearest neighbours and their distance in Å.
Space group P4/mmm (No. 123)
Unique sites:
Ce1 0.0000 0.0000 0.0000 [1 per cell]  8 P 2.94, 4 As 3.05
As1 0.5000 0.5000 0.0000 [1 per cell]  8 P 2.94, 4 Ce 3.05
P1 0.0000 0.5000 0.5000 [2 per cell]  4 As 2.94, 4 Ce 2.94, 4 P 3.05

***

[12]
Here is Ce5As4P after structural relaxation from Alexandria. Energies are from PBE.

Calculated values
Crystal system: orthorhombic
Total energy (eV/atom): -6.8015

a b c (Å): 4.1898 5.9318 20.9746
angles (deg): 90.00 90.00 90.00
Last column: nearest neighbours and their distance in Å.
Space group Immm (No. 71)
Unique sites:
Ce1 0.0000 0.0000 0.0000 [2 per cell]  2 P 2.97, 4 As 2.97
Ce2 0.0000 0.0000 0.2004 [4 per cell]  6 As 2.97-2.98
Ce3 0.0000 0.0000 0.4034 [4 per cell]  2 P 2.91, 4 As 2.97-3.00
As1 0.0000 0.5000 0.1988 [4 per cell]  6 Ce 2.97-3.00
As2 0.0000 0.5000 0.3999 [4 per cell]  6 Ce 2.97
P1 0.0000 0.5000 0.0000 [2 per cell]  6 Ce 2.91-2.97

***

Question: Look up the total energy of the tenth one.
Answer: -6.4740 eV/atom

***

Question: Which of these has the highest total energy?
Answer: CeAsP2